A plane-wave DFT calculation with PBE was carried out for an optimized crystal structure of ReTeW2.

Results
* E_form (uncorrected): 0.635 eV/atom
* M_tot: 0.00 μB/f.u.

abc: 3.0866 3.0866 25.7897
angles: 90.00 90.00 120.00
Space group R3m (No. 160, hexagonal axes)
One atom of each set of equivalent atoms:
Re 0.0000 0.0000 0.0000 (multiplicity 3)
Te 0.0000 0.0000 0.2431 (multiplicity 3)
W 0.0000 0.0000 0.4891 (multiplicity 3)
W 0.0000 0.0000 0.7435 (multiplicity 3)